# 1
The following is a PBE calculation of PmSm6Sc12 after structural relaxation, from Alexandria.

Results
V = 556.5 Å³/f.u.
Energy of formation = 0.500 eV/atom
M_tot = 0.0 μB/f.u.

Cell: 12.9373 12.9373 11.5178 Å, 90.00 90.00 120.00°
Closest atoms and distances in Å follow each position.
Space group R-3m (No. 166, hexagonal axes)
Unique sites:
Pm: 0.0000 0.0000 0.0000 (multiplicity 3)  6 Sm 3.78
Sm: 0.0022 0.5011 0.7314 (multiplicity 18)  4 Sc 2.82-3.05
Sc: 0.0000 0.3859 0.5000 (multiplicity 18)  4 Sm 2.82-3.05, 1 Sc 2.95
Sc: 0.0959 0.1919 0.3444 (multiplicity 18)  3 Sc 3.18-3.38, 3 Sm 3.33-3.38

# 2
The following is a PBE calculation of Pm7Sm12Sc after structural relaxation, from Alexandria.

Results
Polymorph energy (0 for the lowest one) = 408 meV/atom
V = 757.6 Å³/f.u.
Energy of formation = 0.646 eV/atom
M_tot = 0.0 μB/f.u.

Cell: 11.4855 11.4855 11.4855 Å, 90.00 90.00 90.00°
Closest atoms and distances in Å follow each position.
Space group Im-3m (No. 229)
Unique sites:
Pm: 0.0000 0.0000 0.5000 (multiplicity 6)  12 Sm 4.06-4.15
Pm: 0.2500 0.2500 0.2500 (multiplicity 8)  6 Sm 2.87
Sm: 0.0000 0.2444 0.2444 (multiplicity 24)  2 Pm 2.87
Sc: 0.0000 0.0000 0.0000 (multiplicity 2)  12 Sm 3.97

# 3
The following is a PBE calculation of PmSm4Sc2 after structural relaxation, from Alexandria.

Results
Polymorph energy (0 for the lowest one) = 0 meV/atom
V = 219.7 Å³/f.u.
Energy of formation = 0.056 eV/atom
M_tot = 0.0 μB/f.u.

Cell: 3.6218 8.4187 14.6644 Å, 97.99 97.08 90.01°
Closest atoms and distances in Å follow each position.
Space group P-1 (No. 2)
Unique sites:
Pm: 0.1420 0.3316 0.2819 (multiplicity 2)  3 Sc 3.57-3.61, 8 Sm 3.59-3.88, 2 Pm 3.62
Sm: 0.0082 0.2025 0.0163 (multiplicity 2)  7 Sm 3.38-3.62, 4 Sc 3.46-3.52
Sm: 0.2745 0.3583 0.5502 (multiplicity 2)  2 Sc 3.36, 7 Sm 3.47-3.64
Sm: 0.2990 0.9458 0.5984 (multiplicity 2)  3 Sc 3.36-3.38, 2 Pm 3.59, 7 Sm 3.60-3.64
Sm: 0.4409 0.4558 0.8815 (multiplicity 2)  2 Sc 3.28, 7 Sm 3.43-3.62, 2 Pm 3.65
Sc: 0.1389 0.7596 0.2773 (multiplicity 2)  4 Sc 3.25-3.62, 6 Sm 3.28-3.38, 1 Pm 3.61
Sc: 0.4155 0.0064 0.8316 (multiplicity 2)  4 Sc 3.25-3.62, 5 Sm 3.36-3.52, 2 Pm 3.57-3.58

# 4
The following is a PBE calculation of PmSm7Sc2 after structural relaxation, from Alexandria.

Results
V = 385.0 Å³/f.u.
Energy of formation = 0.616 eV/atom
M_tot = 0.0 μB/f.u.

Cell: 8.9464 15.3118 5.6217 Å, 90.00 90.00 90.00°
Closest atoms and distances in Å follow each position.
Space group Cmmm (No. 65)
Unique sites:
Pm: 0.0000 0.0000 0.0000 (multiplicity 2)  10 Sm 3.75-3.79
Sm: 0.0000 0.2477 0.0000 (multiplicity 4)  2 Sc 2.91
Sm: 0.0000 0.5000 0.5000 (multiplicity 2)  2 Sc 3.11, 4 Sm 3.40
Sm: 0.1826 0.1218 0.5000 (multiplicity 8)  2 Sc 3.10-3.14, 2 Sm 3.27-3.40
Sc: 0.0000 0.2970 0.5000 (multiplicity 4)  7 Sm 2.91-3.14